(1)
VASP calculation (PBEsol) on crystalline NaHO at its relaxed geometry. Values from VASP.

Structure (Quantum ESPRESSO input):
```
&SYSTEM
  ibrav = 0, nat = 6, ntyp = 3
/
ATOMIC_SPECIES
Na 22.99 Na.upf
H 1.01 H.upf
O 16.00 O.upf
ATOMIC_POSITIONS crystal
Na 0.250 0.750 0.000
Na 0.750 0.250 0.000
H 0.250 0.250 0.448
H 0.750 0.750 0.552
O 0.250 0.250 0.762
O 0.750 0.750 0.238
CELL_PARAMETERS angstrom
4.451 0.000 0.000
0.000 4.451 0.000
0.000 0.000 3.111
```

Calculated values
- Energy: -4.62 eV/atom

(2)
VASP calculation (PBEsol) on crystalline NaHO at its relaxed geometry. Values from VASP.

Structure (Quantum ESPRESSO input):
```
&SYSTEM
  ibrav = 0, nat = 12, ntyp = 3
/
ATOMIC_SPECIES
Na 22.99 Na.upf
H 1.01 H.upf
O 16.00 O.upf
ATOMIC_POSITIONS crystal
Na 0.158 0.250 0.000
Na 0.158 0.250 0.500
Na 0.842 0.750 0.000
Na 0.842 0.750 0.500
H 0.447 0.521 0.250
H 0.447 0.979 0.750
H 0.553 0.021 0.250
H 0.553 0.479 0.750
O 0.292 0.573 0.750
O 0.292 0.927 0.250
O 0.708 0.073 0.750
O 0.708 0.427 0.250
CELL_PARAMETERS angstrom
3.122 0.000 0.000
0.000 5.899 0.000
0.000 0.000 6.186
```

Calculated values
- Energy: -4.64 eV/atom

(3)
VASP calculation (PBEsol) on crystalline NaH8O5 at its relaxed geometry. Values from VASP.

Structure (Quantum ESPRESSO input):
```
&SYSTEM
  ibrav = 0, nat = 56, ntyp = 3
/
ATOMIC_SPECIES
Na 22.99 Na.upf
H 1.01 H.upf
O 16.00 O.upf
ATOMIC_POSITIONS crystal
Na 0.196 0.203 0.428
Na 0.203 0.196 0.928
Na 0.797 0.804 0.072
Na 0.804 0.797 0.572
H 0.036 0.072 0.657
H 0.072 0.036 0.157
H 0.093 0.369 0.685
H 0.107 0.762 0.485
H 0.140 0.634 0.932
H 0.192 0.658 0.297
H 0.238 0.893 0.015
H 0.268 0.440 0.713
H 0.294 0.548 0.070
H 0.295 0.675 0.629
H 0.325 0.705 0.871
H 0.342 0.808 0.203
H 0.366 0.860 0.568
H 0.369 0.093 0.185
H 0.440 0.268 0.213
H 0.452 0.706 0.430
H 0.548 0.294 0.570
H 0.560 0.732 0.787
H 0.631 0.907 0.815
H 0.634 0.140 0.432
H 0.658 0.192 0.797
H 0.675 0.295 0.129
H 0.705 0.325 0.371
H 0.706 0.452 0.930
H 0.732 0.560 0.287
H 0.762 0.107 0.985
H 0.808 0.342 0.703
H 0.860 0.366 0.068
H 0.893 0.238 0.515
H 0.907 0.631 0.315
H 0.928 0.964 0.843
H 0.964 0.928 0.343
O 0.022 0.756 0.307
O 0.124 0.445 0.651
O 0.129 0.806 0.586
O 0.160 0.554 0.990
O 0.194 0.871 0.914
O 0.244 0.978 0.193
O 0.445 0.124 0.151
O 0.446 0.840 0.510
O 0.461 0.501 0.301
O 0.499 0.539 0.199
O 0.501 0.461 0.801
O 0.539 0.499 0.699
O 0.554 0.160 0.490
O 0.555 0.876 0.849
O 0.756 0.022 0.807
O 0.806 0.129 0.086
O 0.840 0.446 0.010
O 0.871 0.194 0.414
O 0.876 0.555 0.349
O 0.978 0.244 0.693
CELL_PARAMETERS angstrom
7.022 -3.204 0.000
7.022 3.204 0.000
-5.352 0.000 9.809
```

Calculated values
- Energy: -4.95 eV/atom

We obtain DOS(E_F) values of 0.0000; 0.0000; 0.0000 states/eV/atom for the records listed above, in that order.